Entry 1:
A relaxed structure of TbPm2ErTm6, computed with PBE.

Lattice parameters (Å, degrees): 8.6866 8.6866 9.5733 94.53 94.53 118.13
Atoms (fractional coordinates):
Tb1 0.0190 0.9810 0.7500
Tb2 0.9810 0.0190 0.2500
Pm1 0.1942 0.2984 0.5434
Pm2 0.2984 0.1942 0.0434
Pm3 0.7016 0.8058 0.9566
Pm4 0.8058 0.7016 0.4566
Er1 0.4069 0.5931 0.2500
Er2 0.5931 0.4069 0.7500
Tm1 0.0223 0.5747 0.6861
Tm2 0.1257 0.7441 0.0576
Tm3 0.2559 0.8743 0.4424
Tm4 0.2920 0.5039 0.8812
Tm5 0.4253 0.9777 0.8139
Tm6 0.4961 0.7080 0.6188
Tm7 0.5039 0.2920 0.3812
Tm8 0.5747 0.0223 0.1861
Tm9 0.7080 0.4961 0.1188
Tm10 0.7441 0.1257 0.5576
Tm11 0.8743 0.2559 0.9424
Tm12 0.9777 0.4253 0.3139

Properties
Total moment (μB/f.u.): 0.00
DOS(E_F) (states/eV per atom): 1.32
Total DFT energy (no corrections) (eV for the cell shown): -88.683
E_form (meV/atom): 118.2


Entry 2:
A relaxed structure of Tb2Pm4ErTm, computed with PBE.

Lattice parameters (Å, degrees): 5.0847 5.1054 10.0583 90.00 90.00 90.00
Atoms (fractional coordinates):
Tb1 0.0000 0.0000 0.0000
Tb2 0.5000 0.5000 0.5000
Pm1 0.0000 0.5000 0.2492
Pm2 0.0000 0.5000 0.7508
Pm3 0.5000 0.0000 0.2498
Pm4 0.5000 0.0000 0.7502
Er1 0.0000 0.0000 0.5000
Tm1 0.5000 0.5000 0.0000

Properties
Total moment (μB/f.u.): 0.00
DOS(E_F) (states/eV per atom): 1.35
Total DFT energy (no corrections) (eV for the cell shown): -37.167
E_form (meV/atom): 16.3


Entry 3:
A relaxed structure of Tb5PmErTm2, computed with PBE.

Lattice parameters (Å, degrees): 10.3263 10.3263 10.5955 90.00 90.00 148.67
Atoms (fractional coordinates):
Tb1 0.0172 0.9828 0.5000
Tb2 0.2819 0.7181 0.7812
Tb3 0.2997 0.7003 0.1812
Tb4 0.3930 0.6070 0.4992
Tb5 0.4787 0.5213 0.2140
Tb6 0.5213 0.4787 0.7140
Tb7 0.6070 0.3930 0.9992
Tb8 0.7003 0.2997 0.6812
Tb9 0.7181 0.2819 0.2812
Tb10 0.9828 0.0172 0.0000
Pm1 0.2007 0.7993 0.4855
Pm2 0.7993 0.2007 0.9855
Er1 0.4131 0.5869 0.9307
Er2 0.5869 0.4131 0.4307
Tm1 0.1086 0.8914 0.2141
Tm2 0.1142 0.8858 0.7926
Tm3 0.8858 0.1142 0.2926
Tm4 0.8914 0.1086 0.7141

Properties
Total moment (μB/f.u.): 0.00
DOS(E_F) (states/eV per atom): 1.56
Total DFT energy (no corrections) (eV for the cell shown): -80.023
E_form (meV/atom): 155.2


Entry 4:
A relaxed structure of Tb2PmEr3Tm6, computed with PBE.

Lattice parameters (Å, degrees): 6.0915 6.0915 11.6359 95.00 95.00 119.93
Atoms (fractional coordinates):
Tb1 0.1666 0.8334 0.0000
Tb2 0.8334 0.1666 0.0000
Pm1 0.5000 0.5000 0.0000
Er1 0.0000 0.0000 0.5000
Er2 0.3332 0.6668 0.5000
Er3 0.6668 0.3332 0.5000
Tm1 0.0815 0.4151 0.7478
Tm2 0.2512 0.2512 0.2522
Tm3 0.4151 0.0815 0.7478
Tm4 0.5849 0.9185 0.2522
Tm5 0.7488 0.7488 0.7478
Tm6 0.9185 0.5849 0.2522

Properties
Total moment (μB/f.u.): 0.00
DOS(E_F) (states/eV per atom): 1.39
Total DFT energy (no corrections) (eV for the cell shown): -54.250
E_form (meV/atom): 23.2


Entry 5:
A relaxed structure of TbPm2ErTm, computed with PBE.

Lattice parameters (Å, degrees): 7.0974 7.0974 7.2498 90.00 90.00 107.71
Atoms (fractional coordinates):
Tb1 0.0111 0.9889 0.7500
Tb2 0.9889 0.0111 0.2500
Pm1 0.3083 0.3083 0.0000
Pm2 0.3083 0.3083 0.5000
Pm3 0.6917 0.6917 0.0000
Pm4 0.6917 0.6917 0.5000
Er1 0.2800 0.7200 0.7500
Er2 0.7200 0.2800 0.2500
Tm1 0.2690 0.7310 0.2500
Tm2 0.7310 0.2690 0.7500

Properties
Total moment (μB/f.u.): 0.00
DOS(E_F) (states/eV per atom): 1.61
Total DFT energy (no corrections) (eV for the cell shown): -41.932
E_form (meV/atom): 440.0


Entry 6:
A relaxed structure of TbPm3ErTm, computed with PBE.

Lattice parameters (Å, degrees): 8.0060 5.0831 10.1321 90.00 108.55 90.00
Atoms (fractional coordinates):
Tb1 0.1707 0.2500 0.2930
Tb2 0.8293 0.7500 0.7070
Pm1 0.1688 0.7500 0.0426
Pm2 0.1693 0.7500 0.5418
Pm3 0.1696 0.2500 0.7919
Pm4 0.8304 0.7500 0.2081
Pm5 0.8307 0.2500 0.4582
Pm6 0.8312 0.2500 0.9574
Er1 0.4986 0.2500 0.1257
Er2 0.5014 0.7500 0.8743
Tm1 0.5005 0.2500 0.6239
Tm2 0.4995 0.7500 0.3761

Properties
Total moment (μB/f.u.): 0.00
DOS(E_F) (states/eV per atom): 1.42
Total DFT energy (no corrections) (eV for the cell shown): -55.564
E_form (meV/atom): 22.4


Which formula does entry 2 have? Tb2Pm4ErTm